(1)
DyMgTlGa | the Alexandria database | PBE | relaxed; ΔH_f (0 K) = -0.27 eV/atom; N(E_F) = 2.19 states/eV per cell; calculated volume = 93.90 Å³/cell; SG = No. 216
1.0
-1.270 -4.703 -1.516
0.863 -1.448 -4.815
3.644 -3.422 -1.021
Tl Mg Ga Dy
1 1 1 1
direct
0.750 0.750 0.750 Tl
0.500 0.500 0.500 Mg
0.250 0.250 0.250 Ga
0.000 0.000 0.000 Dy

=====

(2)
Mg5Ga2Sn2 | the Alexandria database | PBE | relaxed; ΔH_f (0 K) = -0.12 eV/atom; N(E_F) = 7.51 states/eV per cell; calculated volume = 404.47 Å³/cell; SG = No. 64
1.0
-4.147 -0.468 -5.528
3.518 -5.608 -2.164
-7.285 -5.174 1.563
Mg Ga Sn
10 4 4
direct
0.000 0.000 0.000 Mg
0.500 0.500 0.000 Mg
0.449 0.173 0.755 Mg
0.797 0.827 0.755 Mg
0.297 0.673 0.755 Mg
0.949 0.327 0.755 Mg
0.551 0.827 0.245 Mg
0.203 0.173 0.245 Mg
0.703 0.327 0.245 Mg
0.051 0.673 0.245 Mg
0.130 0.370 0.000 Ga
0.870 0.630 0.000 Ga
0.370 0.870 0.000 Ga
0.630 0.130 0.000 Ga
0.230 0.000 0.540 Sn
0.730 0.500 0.540 Sn
0.770 0.000 0.460 Sn
0.270 0.500 0.460 Sn